Entry 1:
Computed, not measured: a relaxed structure of Ag2AsOs at the PBE-GGA level of DFT.

Summary:
The magnetization comes out at 0.0 μB per cell. Its crystal system is cubic.

Cell lengths 4.519, 4.519, 4.519 Å; angles 60.00, 60.00, 60.00 degrees
Fractional positions:
Os: 0.250 0.250 0.250
Ag: 0.750 0.750 0.750
Ag: 0.000 0.000 0.000
As: 0.500 0.500 0.500

Entry 2:
Computed, not measured: a relaxed structure of Rb4Ag2AsP at the PBE-GGA level of DFT.

Summary:
Its crystal system is orthorhombic.

Cell lengths 6.296, 6.620, 6.620 Å; angles 105.28, 90.00, 90.00 degrees
Fractional positions:
Rb: 0.000 0.524 0.185
Rb: 0.500 0.813 0.468
Rb: 0.000 0.185 0.524
Rb: 0.500 0.468 0.813
As: 0.000 0.755 0.755
Ag: 0.255 0.005 0.005
Ag: 0.745 0.005 0.005
P: 0.500 0.245 0.245

Entry 3:
Computed, not measured: a relaxed structure of PaAgAs at the PBE-GGA level of DFT.

Summary:
The magnetization comes out at 1.0 μB per cell. Its crystal system is cubic.

Cell lengths 4.683, 4.683, 4.683 Å; angles 60.00, 60.00, 60.00 degrees
Fractional positions:
As: 0.000 0.000 0.000
Pa: 0.750 0.750 0.750
Ag: 0.250 0.250 0.250

Entry 4:
Computed, not measured: a relaxed structure of PaAgAs at the PBE-GGA level of DFT.

Summary:
The magnetization comes out at 1.0 μB per cell. Its crystal system is cubic.

Cell lengths 4.807, 4.807, 4.807 Å; angles 60.00, 60.00, 60.00 degrees
Fractional positions:
Ag: 0.250 0.250 0.250
As: 0.750 0.750 0.750
Pa: 0.000 0.000 0.000

Entry 5:
Computed, not measured: a relaxed structure of AgAs2Pb at the PBE-GGA level of DFT.

Summary:
Its crystal system is cubic.

Cell lengths 4.996, 4.996, 4.996 Å; angles 60.00, 60.00, 60.00 degrees
Fractional positions:
As: 0.000 0.000 0.000
As: 0.250 0.250 0.250
Pb: 0.750 0.750 0.750
Ag: 0.500 0.500 0.500

Entry 6:
Computed, not measured: a relaxed structure of AgAsPb2 at the PBE-GGA level of DFT.

Summary:
Its crystal system is cubic.

Cell lengths 5.230, 5.230, 5.230 Å; angles 60.00, 60.00, 60.00 degrees
Fractional positions:
Pb: 0.250 0.250 0.250
Pb: 0.000 0.000 0.000
As: 0.750 0.750 0.750
Ag: 0.500 0.500 0.500

Number 1: E_tot -4.76 eV/atom. Number 2: E_tot -2.78 eV/atom. Number 3: E_tot -5.71 eV/atom. Number 4: E_tot -5.69 eV/atom. Number 5: E_tot -3.64 eV/atom. Number 6: E_tot -3.46 eV/atom.